First-principles (PBE) data for crystalline TlMoSe at its relaxed geometry, as listed in Alexandria via LeMat-Bulk.

```
3
Lattice="3.2920 0.0000 0.0000 -1.6460 2.8510 0.0000 0.0000 0.0000 6.8286" Properties=species:S:1:pos:R:3 pbc="T T T"
Se 1.6460 0.9503 1.8543
Mo 0.0000 0.0000 0.2460
Tl 0.0000 1.9006 4.7283
```

## Properties
Energy above the most stable polymorph in this dataset, meV/atom: 0.0
Electronic total energy, eV per atom: -5.506
Formation energy from raw total energies, eV per atom: 0.0544
Mass density, kg/m3: 9827


First-principles (PBE) data for crystalline NaIF2 at its relaxed geometry, as listed in Alexandria via LeMat-Bulk.

```
8
Lattice="-3.1216 2.7077 -4.7448 -5.2555 -2.9803 1.7568 -5.1022 2.8256 0.7974" Properties=species:S:1:pos:R:3 pbc="T T T"
F -10.8583 2.0498 -2.1161
F -3.7063 1.8725 -2.2772
F -7.2664 1.8478 -0.4227
F -5.1276 -0.6642 0.4350
Na -7.2731 -0.1455 0.5301
Na -4.1885 -0.1363 -1.4940
I 0.0000 0.0000 0.0000
I -6.2062 2.6985 -2.7207
```

## Properties
Energy above the most stable polymorph in this dataset, meV/atom: 409.2
Electronic total energy, eV per atom: -2.992
Formation energy from raw total energies, eV per atom: -1.3390
Mass density, kg/m3: 4089


First-principles (PBE) data for crystalline Sc2FeTcAg at its relaxed geometry, as listed in Alexandria via LeMat-Bulk.

```
5
Lattice="-2.0252 2.8665 -3.2934 1.1737 -2.7479 -3.1134 -4.1653 -2.3569 0.5100" Properties=species:S:1:pos:R:3 pbc="T T T"
Tc 0.5868 -1.3740 -1.5567
Fe 0.0000 0.0000 0.0000
Sc -2.0826 -1.1784 0.2550
Sc -1.0126 1.4332 -1.6467
Ag -2.5084 -1.1192 -2.9484
```

## Properties
ΔE_f, eV/f.u.: 1.51
Electronic total energy, eV per atom: -6.566
Mass density, kg/m3: 5841


First-principles (PBE) data for crystalline TbPm2Dy4Tm2 at its relaxed geometry, as listed in Alexandria via LeMat-Bulk.

```
9
Lattice="-3.9699 1.3072 5.3289 -8.6332 -4.6532 1.1243 5.7060 -3.3126 0.0370" Properties=species:S:1:pos:R:3 pbc="T T T"
Tm 0.0004 -5.5458 1.6175
Tm -6.8975 -1.1128 4.8727
Tb 0.0000 0.0000 0.0000
Pm -3.5874 -1.9604 4.2961
Pm -3.3098 -4.6982 2.1941
Dy -6.1178 -4.4064 4.1791
Dy -0.7794 -2.2522 2.3111
Dy -9.4177 -3.8202 4.9363
Dy 2.5205 -2.8384 1.5539
```

## Properties
ΔE_f, eV/f.u.: 0.74
Electronic total energy, eV per atom: -4.527
Mass density, kg/m3: 8267


First-principles (PBE) data for crystalline TmLuPuTh at its relaxed geometry, as listed in Alexandria via LeMat-Bulk.

```
4
Lattice="5.5131 0.0000 0.0000 2.7566 4.7745 0.0000 2.7566 1.5915 4.5014" Properties=species:S:1:pos:R:3 pbc="T T T"
Lu 0.0000 0.0000 0.0000
Tm 2.7566 1.5915 1.1254
Th 8.2696 4.7745 3.3761
Pu 5.5131 3.1830 2.2507
```

## Properties
ΔE_f, eV/f.u.: 0.76
Electronic total energy, eV per atom: -7.496
Mass density, kg/m3: 11491


First-principles (PBE) data for crystalline Pm3Dy5Te8 at its relaxed geometry, as listed in Alexandria via LeMat-Bulk.

```
16
Lattice="-4.5906 2.9287 -6.8686 -5.8070 -5.2458 -3.9484 -8.6355 1.5912 0.8572" Properties=species:S:1:pos:R:3 pbc="T T T"
Dy -2.9035 -2.6229 -1.9742
Dy -2.2953 1.4643 -3.4343
Dy 0.0000 0.0000 0.0000
Dy -9.5165 -0.3629 -4.9799
Dy -5.1988 -1.1585 -5.4085
Te -7.0347 1.2382 -5.9559
Te -14.3253 -0.5213 -7.4262
Te -4.7078 -0.2046 -2.5336
Te -9.1326 0.6247 -2.0553
Te -9.9005 -1.3506 -7.9044
Te -11.3981 2.0700 -5.4450
Te -11.9984 -1.9641 -4.0039
Te -7.6350 -2.7959 -4.5147
Pm -4.3177 0.7956 0.4286
Pm -6.6130 2.2599 -3.0057
Pm -7.2212 -1.8273 -1.5456
```

## Properties
Electronic total energy, eV per atom: -5.224
Formation energy from raw total energies, eV per atom: -1.3239
Mass density, kg/m3: 7833


First-principles (PBE) data for crystalline Y4HoS4 at its relaxed geometry, as listed in Alexandria via LeMat-Bulk.

```
9
Lattice="1.1309 -5.1511 1.6011 1.8565 -4.0921 -4.9905 6.4225 -1.0112 1.6967" Properties=species:S:1:pos:R:3 pbc="T T T"
Y 6.3439 -4.5102 -0.0189
Y 3.1884 -2.2456 0.0095
Y 3.0660 -5.7442 -1.6739
Y 6.2216 -8.0088 -1.7022
S 6.8866 -7.0814 0.8116
S 3.7218 -4.8346 0.7895
S 5.6882 -5.4198 -2.4822
S 2.5233 -3.1730 -2.5043
Ho 0.0000 0.0000 0.0000
```

## Properties
Electronic total energy, eV per atom: -6.982
Formation energy from raw total energies, eV per atom: -1.7661
Mass density, kg/m3: 5209


First-principles (PBE) data for crystalline Al12Ga7Ag at its relaxed geometry, as listed in Alexandria via LeMat-Bulk.

```
20
Lattice="7.2499 0.6943 1.0420 -1.3490 7.1570 1.0420 -1.3490 -1.7949 7.0062" Properties=species:S:1:pos:R:3 pbc="T T T"
Al 1.4290 0.6313 5.6258
Al 1.6634 5.5318 5.8669
Al 0.2090 4.5955 3.5956
Al 4.3562 2.7487 2.7494
Al -0.2993 1.8500 3.9366
Al 2.6916 2.5109 7.3647
Al 1.8603 3.5455 1.7256
Al 4.8511 4.2064 5.1537
Al 4.3428 1.4609 5.4948
Al 3.1228 5.4251 3.4645
Al 0.1957 3.3077 6.3409
Al 2.8884 0.5246 3.2235
Ga 0.2482 -0.3367 2.6236
Ga 2.2759 3.0282 4.5452
Ga 2.1706 5.1087 8.3905
Ga 2.3813 0.9477 0.6998
Ga -0.3924 2.3655 1.1441
Ga 4.9442 3.6909 7.9462
Ga 4.3036 6.3930 6.4667
Ag 0.0000 0.0000 0.0000
```

## Properties
ΔE_f, eV/f.u.: 3.28
Electronic total energy, eV per atom: -3.283
Mass density, kg/m3: 3864